A relaxed structure of CsBeCo2I. Source: the Alexandria database, functional GGA-PBE.

abc: 4.739 4.739 6.665
angles: 90.00 90.00 90.00
Positions (direct):
Cs  0.000  0.000  0.000
Be  0.000  0.000  0.500
Co  0.000  0.500  0.500
Co  0.500  0.000  0.500
I  0.500  0.500  0.000

Values from the calculation:
- Formation energy without anion corrections: 965 meV/atom
- Calculated density: 4.29 g/cm³

=====

A relaxed structure of Sc2TcHg. Source: the Alexandria database, functional GGA-PBE.

abc: 9.657 9.657 9.657
angles: 19.20 19.20 19.20
Positions (direct):
Sc  0.082  0.082  0.082
Sc  0.918  0.918  0.918
Tc  0.000  0.000  0.000
Hg  0.500  0.500  0.500

Values from the calculation:
- Formation energy from the elements: 312 meV/atom
- Calculated density: 7.58 g/cm³

=====

A relaxed structure of MnPd4Au. Source: the Alexandria database, functional GGA-PBE.

abc: 4.845 4.848 4.872
angles: 60.50 80.73 71.14
Positions (direct):
Mn  0.000  0.000  0.000
Pd  0.000  0.333  0.334
Pd  0.000  0.667  0.666
Pd  0.500  0.165  0.669
Pd  0.500  0.835  0.331
Au  0.500  0.500  0.000

Values from the calculation:
- Formation energy from the elements: -166 meV/atom
- Calculated density: 11.94 g/cm³
- Energy above the lowest structure with this stoichiometry: 0.0000 eV per atom

=====

A relaxed structure of TmAl2Cu3. Source: the Alexandria database, functional GGA-PBE.

abc: 4.224 4.224 12.223
angles: 90.00 90.00 120.00
Positions (direct):
Tm  0.000  0.000  0.250
Tm  0.000  0.000  0.750
Al  0.333  0.667  0.075
Al  0.333  0.667  0.425
Al  0.667  0.333  0.575
Al  0.667  0.333  0.925
Cu  0.000  0.000  0.000
Cu  0.000  0.000  0.500
Cu  0.333  0.667  0.634
Cu  0.333  0.667  0.866
Cu  0.667  0.333  0.134
Cu  0.667  0.333  0.366

Values from the calculation:
- Formation energy from the elements: -346 meV/atom
- Calculated density: 7.27 g/cm³
- Energy above the lowest structure with this stoichiometry: 0.0000 eV per atom

=====

A relaxed structure of Mg4Ga4Ir. Source: the Alexandria database, functional GGA-PBE.

abc: 7.073 7.073 7.073
angles: 133.17 133.17 68.39
Positions (direct):
Mg  0.208  0.208  0.603
Mg  0.396  0.792  0.000
Mg  0.604  0.604  0.397
Mg  0.792  0.396  0.000
Ga  0.029  0.631  0.000
Ga  0.369  0.369  0.398
Ga  0.631  0.029  0.000
Ga  0.971  0.971  0.602
Ir  0.000  0.000  0.000

Values from the calculation:
- Formation energy from the elements: -134 meV/atom
- Calculated density: 5.11 g/cm³

=====

A relaxed structure of PuAs2Rh. Source: the Alexandria database, functional GGA-PBE.

abc: 7.152 4.115 10.719
angles: 90.00 90.00 90.00
Positions (direct):
Pu  0.157  0.250  0.155
Pu  0.343  0.750  0.655
Pu  0.657  0.250  0.345
Pu  0.843  0.750  0.845
As  0.118  0.250  0.786
As  0.236  0.250  0.457
As  0.264  0.750  0.957
As  0.382  0.750  0.286
As  0.618  0.250  0.714
As  0.736  0.250  0.043
As  0.764  0.750  0.543
As  0.882  0.750  0.214
Rh  0.061  0.750  0.415
Rh  0.439  0.250  0.915
Rh  0.561  0.750  0.085
Rh  0.939  0.250  0.585

Values from the calculation:
- Formation energy from the elements: -686 meV/atom
- Calculated density: 10.46 g/cm³

=====

A relaxed structure of Cu6PSe4. Source: the Alexandria database, functional GGA-PBE.

abc: 6.505 6.505 12.746
angles: 112.33 112.33 60.34
Positions (direct):
Cu  0.019  0.981  0.500
Cu  0.211  0.920  0.849
Cu  0.220  0.503  0.181
Cu  0.268  0.381  0.936
Cu  0.341  0.835  0.355
Cu  0.381  0.268  0.436
Cu  0.503  0.220  0.681
Cu  0.700  0.811  0.154
Cu  0.811  0.700  0.654
Cu  0.835  0.341  0.855
Cu  0.920  0.211  0.349
Cu  0.981  0.019  0.000
P  0.406  0.515  0.842
P  0.515  0.406  0.342
Se  0.021  0.919  0.176
Se  0.113  0.336  0.550
Se  0.336  0.113  0.050
Se  0.439  0.666  0.525
Se  0.666  0.439  0.025
Se  0.687  0.886  0.353
Se  0.886  0.687  0.853
Se  0.919  0.021  0.676

Values from the calculation:
- Formation energy without anion corrections: -49 meV/atom
- Calculated density: 5.74 g/cm³

=====

A relaxed structure of CuAg2HPt. Source: the Alexandria database, functional GGA-PBE.

abc: 4.229 4.229 3.771
angles: 90.00 90.00 90.00
Positions (direct):
Cu  0.000  0.000  0.000
Ag  0.000  0.500  0.500
Ag  0.500  0.000  0.500
H  0.500  0.500  0.500
Pt  0.500  0.500  0.000

Values from the calculation:
- Calculated density: 11.70 g/cm³
- Final energy: -3.74 eV per atom

=====

A relaxed structure of NbCd2Os2. Source: the Alexandria database, functional GGA-PBE.

abc: 6.559 6.559 4.474
angles: 90.00 90.00 90.00
Positions (direct):
Nb  0.000  0.000  0.000
Nb  0.500  0.500  0.000
Cd  0.174  0.326  0.500
Cd  0.326  0.826  0.500
Cd  0.674  0.174  0.500
Cd  0.826  0.674  0.500
Os  0.131  0.631  0.000
Os  0.369  0.131  0.000
Os  0.631  0.869  0.000
Os  0.869  0.369  0.000

Values from the calculation:
- Formation energy from the elements: 524 meV/atom
- Calculated density: 12.05 g/cm³
- Energy above the lowest structure with this stoichiometry: 0.0000 eV per atom

=====

A relaxed structure of ZrAlBr3. Source: the Alexandria database, functional GGA-PBE.

abc: 5.375 5.375 5.375
angles: 90.00 90.00 90.00
Positions (direct):
Zr  0.000  0.000  0.000
Al  0.500  0.500  0.500
Br  0.000  0.000  0.500
Br  0.000  0.500  0.000
Br  0.500  0.000  0.000

Values from the calculation:
- Formation energy without anion corrections: -444 meV/atom
- Calculated density: 3.83 g/cm³
- Energy above the lowest structure with this stoichiometry: 0.0000 eV per atom

=====

A relaxed structure of Hf5BiSe. Source: the Alexandria database, functional GGA-PBE.

abc: 6.089 6.089 10.257
angles: 105.09 105.09 61.94
Positions (direct):
Hf  0.051  0.397  0.642
Hf  0.093  0.907  0.750
Hf  0.227  0.494  0.960
Hf  0.397  0.051  0.142
Hf  0.494  0.227  0.460
Hf  0.506  0.773  0.540
Hf  0.603  0.949  0.858
Hf  0.773  0.506  0.040
Hf  0.907  0.093  0.250
Hf  0.949  0.603  0.358
Bi  0.421  0.579  0.250
Bi  0.579  0.421  0.750
Se  0.000  0.000  0.000
Se  0.000  0.000  0.500

Values from the calculation:
- Formation energy without anion corrections: -84 meV/atom
- Calculated density: 12.26 g/cm³

=====

A relaxed structure of Hg2I3. Source: the Alexandria database, functional GGA-PBE.

abc: 8.747 8.747 11.814
angles: 97.61 97.61 29.44
Positions (direct):
Hg  0.071  0.071  0.458
Hg  0.409  0.409  0.203
Hg  0.591  0.591  0.797
Hg  0.929  0.929  0.542
I  0.133  0.133  0.946
I  0.320  0.320  0.390
I  0.420  0.420  0.730
I  0.580  0.580  0.270
I  0.680  0.680  0.610
I  0.867  0.867  0.054

Values from the calculation:
- Formation energy without anion corrections: -235 meV/atom
- Calculated density: 5.90 g/cm³
- Energy above the lowest structure with this stoichiometry: 0.0000 eV per atom

=====

A relaxed structure of ScInH. Source: the Alexandria database, functional GGA-PBE.

abc: 6.014 6.014 6.014
angles: 151.12 151.12 41.31
Positions (direct):
Sc  0.000  0.000  0.000
In  0.275  0.275  0.000
H  0.533  0.533  0.000

Values from the calculation:
- Calculated density: 5.27 g/cm³
- Energy above the lowest structure with this stoichiometry: 0.2535 eV per atom

=====

A relaxed structure of CaTmGa. Source: the Alexandria database, functional GGA-PBE.

abc: 4.946 4.946 8.171
angles: 90.00 90.00 120.00
Positions (direct):
Ca  0.333  0.667  0.352
Ca  0.667  0.333  0.648
Tm  0.333  0.667  0.903
Tm  0.667  0.333  0.097
Ga  0.000  0.000  0.173
Ga  0.000  0.000  0.827

Values from the calculation:
- Formation energy from the elements: -271 meV/atom
- Calculated density: 5.35 g/cm³
- Energy above the lowest structure with this stoichiometry: 0.0385 eV per atom

=====

A relaxed structure of ZrB6N6. Source: the Alexandria database, functional GGA-PBE.

abc: 4.626 4.626 4.626
angles: 90.00 90.00 90.00
Positions (direct):
Zr  0.000  0.000  0.000
B  0.000  0.238  0.500
B  0.000  0.762  0.500
B  0.238  0.500  0.000
B  0.500  0.000  0.238
B  0.500  0.000  0.762
B  0.762  0.500  0.000
N  0.000  0.500  0.250
N  0.000  0.500  0.750
N  0.250  0.000  0.500
N  0.500  0.250  0.000
N  0.500  0.750  0.000
N  0.750  0.000  0.500

Values from the calculation:
- Formation energy without anion corrections: -167 meV/atom
- Calculated density: 4.03 g/cm³

=====

A relaxed structure of Er2ScIn2. Source: the Alexandria database, functional GGA-PBE.

abc: 5.979 5.979 5.979
angles: 133.92 113.96 84.27
Positions (direct):
Er  0.196  0.196  0.000
Er  0.804  0.804  0.000
Sc  0.500  0.000  0.500
In  0.223  0.500  0.723
In  0.777  0.500  0.277

Values from the calculation:
- Formation energy from the elements: -329 meV/atom
- Calculated density: 7.48 g/cm³
- Energy above the lowest structure with this stoichiometry: 0.0299 eV per atom

=====

A relaxed structure of TaCoSiRu2. Source: the Alexandria database, functional GGA-PBE.

abc: 4.645 4.645 4.794
angles: 90.00 90.00 90.00
Positions (direct):
Ta  0.000  0.000  0.000
Co  0.500  0.500  0.500
Si  0.000  0.000  0.500
Ru  0.000  0.500  0.000
Ru  0.500  0.000  0.000

Values from the calculation:
- Formation energy without anion corrections: 1819 meV/atom
- Calculated density: 7.55 g/cm³

=====

A relaxed structure of PaCr2GeC. Source: the Alexandria database, functional GGA-PBE.

abc: 5.787 5.787 7.529
angles: 90.00 90.00 144.83
Positions (direct):
Pa  0.032  0.968  0.750
Pa  0.968  0.032  0.250
Cr  0.331  0.669  0.555
Cr  0.331  0.669  0.945
Cr  0.669  0.331  0.055
Cr  0.669  0.331  0.445
Ge  0.246  0.754  0.250
Ge  0.754  0.246  0.750
C  0.500  0.500  0.000
C  0.500  0.500  0.500

Values from the calculation:
- Formation energy from the elements: -290 meV/atom
- Calculated density: 9.60 g/cm³

=====

A relaxed structure of In2ReRh. Source: the Alexandria database, functional GGA-PBE.

abc: 4.612 4.612 4.612
angles: 60.00 60.00 60.00
Positions (direct):
In  0.250  0.250  0.250
In  0.750  0.750  0.750
Re  0.000  0.000  0.000
Rh  0.500  0.500  0.500

Values from the calculation:
- Formation energy from the elements: 296 meV/atom
- Calculated density: 12.42 g/cm³
- Energy above the lowest structure with this stoichiometry: 0.1480 eV per atom

=====

A relaxed structure of NaSiSbTe2. Source: the Alexandria database, functional GGA-PBE.

abc: 5.442 5.442 5.261
angles: 90.00 90.00 90.00
Positions (direct):
Na  0.000  0.000  0.000
Si  0.500  0.500  0.500
Sb  0.500  0.500  0.000
Te  0.000  0.500  0.500
Te  0.500  0.000  0.500

Values from the calculation:
- Formation energy without anion corrections: 158 meV/atom
- Calculated density: 4.56 g/cm³
- Energy above the lowest structure with this stoichiometry: 0.0000 eV per atom